Ta2BeTl | GGA-PBE | optimized geometry

a = 3.8828 Å, b = 3.8828 Å, c = 20.1573 Å
α = 90.00°, β = 90.00°, γ = 90.00°
Space group I-42d (No. 122)
Asymmetric unit:
Ta  0.2425  0.2500  0.1250 (multiplicity 8)
Be  0.0000  0.0000  0.0000 (multiplicity 4)
Tl  0.0000  0.0000  0.5000 (multiplicity 4)

- Calculated formation energy: 881 meV/atom
- Magnetization: 0.000 μB/f.u.
- Uncorrected energy: -0.2414 hartree per atom

NaZrPb2 | GGA-PBE | optimized geometry

a = 4.4678 Å, b = 4.4678 Å, c = 20.4939 Å
α = 90.00°, β = 90.00°, γ = 120.00°
Space group R3m (No. 160, hexagonal axes)
Asymmetric unit:
Na  0.0000  0.0000  0.0000 (multiplicity 3)
Zr  0.0000  0.0000  0.1745 (multiplicity 3)
Pb  0.0000  0.0000  0.5815 (multiplicity 3)
Pb  0.0000  0.0000  0.7625 (multiplicity 3)

- Calculated formation energy: 119 meV/atom
- Magnetization: 0.000 μB/f.u.
- Uncorrected energy: -0.1544 hartree per atom

Dy2BiS4 | GGA-PBE | optimized geometry

a = 15.4709 Å, b = 3.8735 Å, c = 6.9741 Å
α = 90.00°, β = 112.86°, γ = 90.00°
Space group C2/m (No. 12)
Asymmetric unit:
Dy  0.2360  0.0000  0.2401 (multiplicity 4)
Bi  0.0000  0.5000  0.5000 (multiplicity 2)
S  0.1392  0.5000  0.3414 (multiplicity 4)
S  0.1492  0.0000  0.8166 (multiplicity 4)

- Formation energy without anion corrections: -1.442 eV per atom
- Magnetization: 0.000 μB/f.u.
- Uncorrected energy: -0.2084 hartree per atom

NaRhF6 | GGA-PBE | optimized geometry

a = 5.3234 Å, b = 5.3234 Å, c = 9.9972 Å
α = 90.00°, β = 90.00°, γ = 120.00°
Space group P-31c (No. 163)
Asymmetric unit:
Na  0.3333  0.6667  0.2500 (multiplicity 2)
Rh  0.0000  0.0000  0.0000 (multiplicity 2)
F  0.0045  0.2936  0.1106 (multiplicity 12)

- Formation energy without anion corrections: -1.800 eV per atom
- Magnetization: 2.000 μB/f.u.
- Uncorrected energy: -0.1576 hartree per atom